(1)
CaScN2F (PBE-GGA, optimized geometry); formation energy from raw total energies = -1.277 eV per atom; volume = 14.17 Å³ per atom; Fermi-level density of states = 0.38 states/eV/atom
1.0
4.129 0.000 0.000
0.000 4.129 0.000
0.000 0.000 4.154
Sc Ca N F
1 1 2 1
Direct
0.000 0.000 0.000
0.500 0.500 0.500
0.000 0.500 0.000
0.500 0.000 0.000
0.000 0.000 0.500

=====

(2)
Mg3Tl3Pb (PBE-GGA, optimized geometry); volume = 35.77 Å³ per atom; Fermi-level density of states = 0.30 states/eV/atom; ΔH_f (0 K) = 457 meV/atom
1.0
-0.948 -2.844 7.353
7.849 0.354 1.149
-0.739 7.405 2.769
Pb Tl Mg
2 6 6
Direct
0.500 0.500 0.500
0.000 0.000 0.000
0.250 0.000 0.500
0.000 0.500 0.250
0.500 0.750 0.000
0.750 0.000 0.500
0.000 0.500 0.750
0.500 0.250 0.000
0.000 0.250 0.500
0.000 0.750 0.500
0.500 0.000 0.750
0.750 0.500 0.000
0.500 0.000 0.250
0.250 0.500 0.000

=====

(3)
Sm5YSe6 (PBE-GGA, optimized geometry); formation energy from raw total energies = -1.811 eV per atom; volume = 25.41 Å³ per atom; Fermi-level density of states = 0.42 states/eV/atom
1.0
7.184 0.209 0.000
2.222 6.852 0.000
1.111 3.426 6.254
Sm Y Se
5 1 6
Direct
0.500 0.170 0.660
0.000 0.333 0.335
0.500 0.500 0.000
0.000 0.667 0.665
0.500 0.830 0.340
0.000 0.000 0.000
0.754 0.082 0.328
0.246 0.590 0.328
0.249 0.245 0.000
0.751 0.755 0.000
0.754 0.410 0.672
0.246 0.918 0.672

=====

(4)
Sr3LaSe4 (PBE-GGA, optimized geometry); formation energy from raw total energies = -2.018 eV per atom; volume = 30.21 Å³ per atom; Fermi-level density of states = 0.37 states/eV/atom
1.0
-3.032 -0.528 3.136
-3.965 -4.618 -4.611
4.947 -4.140 4.086
Sr La Se
3 1 4
Direct
0.000 0.000 0.500
0.500 0.500 0.500
0.000 0.500 0.000
0.500 0.000 0.000
0.000 0.245 0.245
0.500 0.753 0.247
0.000 0.755 0.755
0.500 0.247 0.753